10
Lattice="-6.149 1.224 1.125 -1.299 -7.151 0.683 1.632 3.196 5.443" Properties=species:S:1:pos:R:3 comment="SrAgHg3 (GGA-PBE, optimized geometry)" e_above_lowest_polymorph_ev_per_fu=0.18 vol_a3_per_cell=271 formation_energy_kj_per_mol_atoms=-24 pbc="T T T"
Sr -0.963 -0.880 4.710
Sr -4.853 -1.851 2.542
Ag -1.886 -3.702 2.739
Ag -3.930 0.971 4.512
Hg -3.959 -5.728 2.626
Hg -1.856 2.997 4.625
Hg -0.885 -6.340 2.064
Hg -4.931 3.609 5.188
Hg -1.683 -1.371 1.309
Hg -4.133 -1.360 5.942

***

5
Lattice="4.457 0.000 0.000 0.000 4.457 0.000 2.228 2.228 6.487" Properties=species:S:1:pos:R:3 comment="SrAg2Hg2 (GGA-PBE, optimized geometry)" e_above_lowest_polymorph_ev_per_fu=0.06 vol_a3_per_cell=129 formation_energy_kj_per_mol_atoms=-21 pbc="T T T"
Sr 0.000 0.000 0.000
Hg 2.228 2.228 1.449
Hg 4.457 4.457 5.039
Ag 4.457 2.228 3.244
Ag 2.228 4.457 3.244

***

14
Lattice="-3.087 -0.392 -3.516 -0.212 -5.991 -2.281 -12.426 -4.193 8.240" Properties=species:S:1:pos:R:3 comment="Sr3Ag3Hg (GGA-PBE, optimized geometry)" vol_a3_per_cell=429 formation_energy_kj_per_mol_atoms=-33 pbc="T T T"
Sr -9.334 -4.662 2.443
Sr -6.391 -5.913 -0.001
Sr -3.715 -2.605 0.416
Sr -12.010 -7.970 2.026
Sr -12.756 -5.755 5.569
Sr -2.969 -4.820 -3.126
Ag -9.568 -6.862 -0.240
Ag -6.156 -3.713 2.683
Ag -11.975 -9.100 5.256
Ag -3.750 -1.475 -2.813
Ag -6.016 -6.317 -3.419
Ag -9.709 -4.258 5.862
Hg -7.203 -2.489 0.331
Hg -8.521 -8.086 2.112

***

7
Lattice="-5.261 -1.974 3.975 1.701 -5.117 -4.278 5.415 1.558 3.953" Properties=species:S:1:pos:R:3 comment="Sr4AgHg2 (GGA-PBE, optimized geometry)" e_above_lowest_polymorph_ev_per_fu=0.00 vol_a3_per_cell=251 formation_energy_kj_per_mol_atoms=-33 pbc="T T T"
Sr -2.631 -0.987 1.988
Sr 0.927 -2.767 1.825
Sr 2.708 0.779 1.977
Sr 0.850 -2.559 -2.139
Ag 0.000 0.000 0.000
Hg -1.780 -3.546 -0.151
Hg 0.077 -0.208 3.964